Entry from Alexandria via LeMat-Bulk: a relaxed structure of WSNF2 (PBE+U).

Calculated values
**V**: 15.296 A^3/atom
**DOS at the Fermi energy**: 2.130 states/eV/cell
**Relative energy among the computed polymorphs**: 4.38 eV/f.u.

Cell: 4.8115 4.8115 3.3035 Å, 90.00 90.00 90.00°
Space group P4/mmm (No. 123)
Unique sites:
W 0.0000 0.0000 0.0000
S 0.5000 0.5000 0.5000
N 0.5000 0.5000 0.0000
F 0.0000 0.5000 0.5000